(1)
# LiCaN2O (PBE-GGA, optimized geometry)
# Symmetry: P4/mmm, No. 123
# Density of states at the Fermi level, states/eV/atom: 0.5385
# Size of the total moment, μB/cell: 5.000
data_LiCaN2O
_chemical_formula_sum 'Li1 Ca1 N2 O1'
_space_group_name_H-M_alt 'P 1'
_space_group_IT_number 1
_cell_length_a 4.721
_cell_length_b 4.721
_cell_length_c 4.367
_cell_angle_alpha 90.00
_cell_angle_beta 90.00
_cell_angle_gamma 90.00
loop_
_space_group_symop_operation_xyz
'x,y,z'
loop_
_atom_site_label
_atom_site_fract_x
_atom_site_fract_y
_atom_site_fract_z
Li1 0.500 0.500 0.500
N1 0.500 0.000 0.000
N2 0.000 0.500 0.000
O1 0.000 0.000 0.500
Ca1 0.000 0.000 0.000


(2)
# NiTe2I (PBE-GGA, optimized geometry)
# Symmetry: P1, No. 1
# Density of states at the Fermi level, states/eV/atom: 0.0000
# Size of the total moment, μB/cell: 0.000
data_NiTe2I
_chemical_formula_sum 'Ni2 Te4 I2'
_space_group_name_H-M_alt 'P 1'
_space_group_IT_number 1
_cell_length_a 8.341
_cell_length_b 4.917
_cell_length_c 7.908
_cell_angle_alpha 95.26
_cell_angle_beta 56.13
_cell_angle_gamma 96.79
loop_
_space_group_symop_operation_xyz
'x,y,z'
loop_
_atom_site_label
_atom_site_fract_x
_atom_site_fract_y
_atom_site_fract_z
Ni1 0.525 0.054 0.352
Ni2 0.269 0.369 0.358
I1 0.245 0.103 0.075
I2 0.951 0.126 0.645
Te1 0.590 0.399 0.565
Te2 0.537 0.686 0.113
Te3 0.809 0.379 0.133
Te4 0.292 0.706 0.597


(3)
# LiCaTl2Pb (PBE-GGA, optimized geometry)
# Symmetry: P4/mmm, No. 123
# Excess energy over the best structure of this formula in the dataset, meV per atom: 42
# Density of states at the Fermi level, states/eV/atom: 0.3087
# Size of the total moment, μB/cell: 0.000
# ΔE_f, eV/atom: -0.14
data_LiCaTl2Pb
_chemical_formula_sum 'Li1 Ca1 Tl2 Pb1'
_space_group_name_H-M_alt 'P 1'
_space_group_IT_number 1
_cell_length_a 5.188
_cell_length_b 5.188
_cell_length_c 5.276
_cell_angle_alpha 90.00
_cell_angle_beta 90.00
_cell_angle_gamma 90.00
loop_
_space_group_symop_operation_xyz
'x,y,z'
loop_
_atom_site_label
_atom_site_fract_x
_atom_site_fract_y
_atom_site_fract_z
Pb1 0.000 0.000 0.500
Tl1 0.500 0.000 0.000
Tl2 0.000 0.500 0.000
Li1 0.000 0.000 0.000
Ca1 0.500 0.500 0.500


(4)
# CePmDy2Tm4 (PBE-GGA, optimized geometry)
# Symmetry: Pmmm, No. 47
# Density of states at the Fermi level, states/eV/atom: 1.6209
# Size of the total moment, μB/cell: 0.944
# ΔE_f, eV/atom: 0.05
data_CePmDy2Tm4
_chemical_formula_sum 'Ce1 Pm1 Dy2 Tm4'
_space_group_name_H-M_alt 'P 1'
_space_group_IT_number 1
_cell_length_a 5.022
_cell_length_b 5.004
_cell_length_c 11.060
_cell_angle_alpha 63.13
_cell_angle_beta 90.00
_cell_angle_gamma 90.00
loop_
_space_group_symop_operation_xyz
'x,y,z'
loop_
_atom_site_label
_atom_site_fract_x
_atom_site_fract_y
_atom_site_fract_z
Dy1 0.000 0.000 0.000
Dy2 0.500 0.000 0.500
Ce1 0.000 0.500 0.500
Tm1 0.500 0.253 0.747
Tm2 0.500 0.747 0.253
Tm3 0.000 0.753 0.747
Tm4 0.000 0.247 0.253
Pm1 0.500 0.500 0.000


(5)
# MgI2F (PBE-GGA, optimized geometry)
# Symmetry: Fm-3m, No. 225
# Excess energy over the best structure of this formula in the dataset, meV per atom: 66
# Density of states at the Fermi level, states/eV/atom: 0.9535
# Size of the total moment, μB/cell: 0.000
data_MgI2F
_chemical_formula_sum 'Mg1 I2 F1'
_space_group_name_H-M_alt 'P 1'
_space_group_IT_number 1
_cell_length_a 5.089
_cell_length_b 5.089
_cell_length_c 5.089
_cell_angle_alpha 60.00
_cell_angle_beta 60.00
_cell_angle_gamma 60.00
loop_
_space_group_symop_operation_xyz
'x,y,z'
loop_
_atom_site_label
_atom_site_fract_x
_atom_site_fract_y
_atom_site_fract_z
Mg1 0.500 0.500 0.500
I1 0.750 0.750 0.750
I2 0.250 0.250 0.250
F1 0.000 0.000 0.000


(6)
# Ba2TlSn3Pd4 (PBE-GGA, optimized geometry)
# Symmetry: P-4m2, No. 115
# Density of states at the Fermi level, states/eV/atom: 0.5992
# Size of the total moment, μB/cell: 0.000
# ΔE_f, eV/atom: -0.65
data_Ba2TlSn3Pd4
_chemical_formula_sum 'Ba2 Tl1 Sn3 Pd4'
_space_group_name_H-M_alt 'P 1'
_space_group_IT_number 1
_cell_length_a 4.882
_cell_length_b 4.882
_cell_length_c 10.657
_cell_angle_alpha 90.00
_cell_angle_beta 90.00
_cell_angle_gamma 90.00
loop_
_space_group_symop_operation_xyz
'x,y,z'
loop_
_atom_site_label
_atom_site_fract_x
_atom_site_fract_y
_atom_site_fract_z
Tl1 0.500 0.500 0.500
Pd1 0.500 0.500 0.000
Pd2 0.500 0.000 0.634
Pd3 0.000 0.000 0.000
Pd4 0.000 0.500 0.366
Ba1 0.500 0.000 0.245
Ba2 0.000 0.500 0.755
Sn1 0.000 0.500 0.113
Sn2 0.000 0.000 0.500
Sn3 0.500 0.000 0.887


| no. | electronic total energy (eV/atom) |
| --- | --- |
| 1 | -4.304 |
| 2 | -3.504 |
| 3 | -2.616 |
| 4 | -4.675 |
| 5 | -2.323 |
| 6 | -4.544 |